A plane-wave DFT calculation with GGA-PBE was carried out for a geometry-optimized LiTaSb structure.

```
LiTaSb
1.0
0.000 3.237 3.237
3.237 0.000 3.237
3.237 3.237 0.000
Sb Li Ta
1 1 1
Direct
0.750 0.750 0.750 Sb
0.250 0.250 0.250 Li
0.000 0.000 0.000 Ta
```

Magnetic moment, μB per formula unit: 1.27
ΔE to the lowest computed polymorph, meV/atom: 194